Entry 1:
# LaB3Mo (PBE, relaxed)
data_LaB3Mo
_cell_length_a 4.4034
_cell_length_b 4.4034
_cell_length_c 4.4034
_cell_angle_alpha 90.00
_cell_angle_beta 90.00
_cell_angle_gamma 90.00
_symmetry_space_group_name_H-M 'P m -3 m'
_symmetry_Int_Tables_number 221
_symmetry_space_group_name_Hall '-P 4 2 3'
loop_
_atom_site_label
_atom_site_type_symbol
_atom_site_fract_x
_atom_site_fract_y
_atom_site_fract_z
La1 La 0.0000 0.0000 0.0000
B1 B 0.0000 0.0000 0.5000
Mo1 Mo 0.5000 0.5000 0.5000
# offset from the most stable computed form	2497.3	meV per atom
# ΔE_f	2.6588	eV per atom

***

Entry 2:
# Sr2AcTl2Sn2 (PBE, relaxed)
data_Sr2AcTl2Sn2
_cell_length_a 4.8560
_cell_length_b 4.8560
_cell_length_c 39.7375
_cell_angle_alpha 90.00
_cell_angle_beta 90.00
_cell_angle_gamma 120.00
_symmetry_space_group_name_H-M 'R -3 m'
_symmetry_Int_Tables_number 166
_symmetry_space_group_name_Hall '-R 3 2"'
loop_
_atom_site_label
_atom_site_type_symbol
_atom_site_fract_x
_atom_site_fract_y
_atom_site_fract_z
Sr1 Sr 0.0000 0.0000 0.1202
Ac1 Ac 0.0000 0.0000 0.0000
Tl1 Tl 0.0000 0.0000 0.4115
Sn1 Sn 0.0000 0.0000 0.2844
# ΔE_f	-0.3774	eV per atom

***

Entry 3:
# TlReSe2 (PBE, relaxed)
data_TlReSe2
_cell_length_a 6.9788
_cell_length_b 3.2510
_cell_length_c 8.3946
_cell_angle_alpha 90.00
_cell_angle_beta 95.77
_cell_angle_gamma 90.00
_symmetry_space_group_name_H-M 'C 1 2/m 1'
_symmetry_Int_Tables_number 12
_symmetry_space_group_name_Hall '-C 2y'
loop_
_atom_site_label
_atom_site_type_symbol
_atom_site_fract_x
_atom_site_fract_y
_atom_site_fract_z
Tl1 Tl 0.0000 0.0000 0.0000
Re1 Re 0.0000 0.5000 0.5000
Se1 Se 0.2166 0.0000 0.6675
# offset from the most stable computed form	10.4	meV per atom
# raw formation energy	0.054	eV per formula unit

***

Entry 4:
# DyScIrPd (PBE, relaxed)
data_DyScIrPd
_cell_length_a 6.7395
_cell_length_b 6.7395
_cell_length_c 6.7395
_cell_angle_alpha 90.00
_cell_angle_beta 90.00
_cell_angle_gamma 90.00
_symmetry_space_group_name_H-M 'F -4 3 m'
_symmetry_Int_Tables_number 216
_symmetry_space_group_name_Hall 'F -4 2 3'
loop_
_atom_site_label
_atom_site_type_symbol
_atom_site_fract_x
_atom_site_fract_y
_atom_site_fract_z
Dy1 Dy 0.0000 0.0000 0.0000
Sc1 Sc 0.0000 0.0000 0.5000
Ir1 Ir 0.2500 0.2500 0.2500
Pd1 Pd 0.2500 0.2500 0.7500
# ΔE_f	-0.9126	eV per atom

***

Entry 5:
# OsSe (PBE, relaxed)
data_OsSe
_cell_length_a 5.5097
_cell_length_b 5.5097
_cell_length_c 5.5097
_cell_angle_alpha 90.00
_cell_angle_beta 90.00
_cell_angle_gamma 90.00
_symmetry_space_group_name_H-M 'F -4 3 m'
_symmetry_Int_Tables_number 216
_symmetry_space_group_name_Hall 'F -4 2 3'
loop_
_atom_site_label
_atom_site_type_symbol
_atom_site_fract_x
_atom_site_fract_y
_atom_site_fract_z
Os1 Os 0.0000 0.0000 0.0000
Se1 Se 0.2500 0.2500 0.2500
# raw formation energy	1.327	eV per formula unit

***

Entry 6:
# Ba2Cd3 (PBE, relaxed)
data_Ba2Cd3
_cell_length_a 12.5468
_cell_length_b 26.4958
_cell_length_c 4.6895
_cell_angle_alpha 90.00
_cell_angle_beta 90.00
_cell_angle_gamma 90.00
_symmetry_space_group_name_H-M 'F d d 2'
_symmetry_Int_Tables_number 43
_symmetry_space_group_name_Hall 'F 2 -2d'
loop_
_atom_site_label
_atom_site_type_symbol
_atom_site_fract_x
_atom_site_fract_y
_atom_site_fract_z
Ba1 Ba 0.0480 0.3228 0.0000
Cd1 Cd 0.0000 0.0000 0.2830
Cd2 Cd 0.0839 0.4463 0.2876
# offset from the most stable computed form	91.8	meV per atom
# ΔE_f	-0.2165	eV per atom